Density functional theory data (PBE) for a relaxed Hf2BeAu2 crystal.

Results
As for the electronic total energy: -59.7 eV/cell. The value obtained for the energy of formation is 0.3 eV/f.u. Its space-group type is No. 127.

Cell lengths 7.436, 7.436, 3.586 Å; angles 90.00, 90.00, 90.00 degrees
Element x y z (fractional)
1 Au 0.365 0.135 0.500
2 Hf 0.667 0.167 0.000
3 Hf 0.333 0.833 0.000
4 Au 0.865 0.365 0.500
5 Be 0.500 0.500 0.000
6 Be 0.000 0.000 0.000
7 Au 0.635 0.865 0.500
8 Hf 0.833 0.667 0.000
9 Au 0.135 0.635 0.500
10 Hf 0.167 0.333 0.000